(1)
# LiFe2CoN | Alexandria via LeMat-Bulk | GGA-PBE | optimized geometry
# - Crystal system: tetragonal
# - Total magnetic moment: 5.070 μB/cell
# - Uncorrected formation energy: -57 meV/atom
# - N(E_F): 0.950 states/eV/atom
data_LiFe2CoN
_chemical_formula_sum 'Li1 Fe2 Co1 N1'
_cell_length_a 3.7751
_cell_length_b 3.7751
_cell_length_c 3.7426
_cell_angle_alpha 90.00
_cell_angle_beta 90.00
_cell_angle_gamma 90.00
_symmetry_space_group_name_H-M 'P 4/m m m'
_symmetry_Int_Tables_number 123
_symmetry_space_group_name_Hall '-P 4 2'
loop_
_atom_site_label
_atom_site_fract_x
_atom_site_fract_y
_atom_site_fract_z
Li1 0.0000 0.0000 0.0000
Fe1 0.0000 0.5000 0.5000
Co1 0.5000 0.5000 0.0000
N1 0.5000 0.5000 0.5000


(2)
# Nd2HgIr | Alexandria via LeMat-Bulk | GGA-PBE | optimized geometry
# - Crystal system: trigonal
# - DFT formation energy: -540 meV/atom
# - Energy above the lowest structure with this stoichiometry: 10.0 meV per atom
# - Total magnetic moment: 0.000 μB/cell
# - N(E_F): 0.707 states/eV/atom
data_Nd2HgIr
_chemical_formula_sum 'Nd6 Hg3 Ir3'
_cell_length_a 4.2200
_cell_length_b 4.2200
_cell_length_c 22.7740
_cell_angle_alpha 90.00
_cell_angle_beta 90.00
_cell_angle_gamma 120.00
_symmetry_space_group_name_H-M 'R 3 m'
_symmetry_Int_Tables_number 160
_symmetry_space_group_name_Hall 'R 3 -2"'
loop_
_atom_site_label
_atom_site_fract_x
_atom_site_fract_y
_atom_site_fract_z
Nd1 0.0000 0.0000 0.0000
Nd2 0.0000 0.0000 0.2008
Hg1 0.0000 0.0000 0.4343
Ir1 0.0000 0.0000 0.5990


(3)
# RbGaSn2 | Alexandria via LeMat-Bulk | GGA-PBE | optimized geometry
# - Crystal system: triclinic
# - DFT formation energy: -79 meV/atom
# - Total magnetic moment: 0.000 μB/cell
# - N(E_F): 0.406 states/eV/atom
data_RbGaSn2
_chemical_formula_sum 'Rb2 Ga2 Sn4'
_cell_length_a 3.4648
_cell_length_b 7.0432
_cell_length_c 10.4493
_cell_angle_alpha 98.24
_cell_angle_beta 99.46
_cell_angle_gamma 90.12
_symmetry_space_group_name_H-M 'P -1'
_symmetry_Int_Tables_number 2
_symmetry_space_group_name_Hall '-P 1'
loop_
_atom_site_label
_atom_site_fract_x
_atom_site_fract_y
_atom_site_fract_z
Rb1 0.1410 0.0775 0.2849
Ga1 0.3973 0.4643 0.7961
Sn1 0.2142 0.6374 0.4274
Sn2 0.4991 0.2371 0.9956


(4)
# CdCuIN2 | Alexandria via LeMat-Bulk | GGA-PBE | optimized geometry
# - Crystal system: tetragonal
# - Energy above the lowest structure with this stoichiometry: 0.0 meV per atom
# - Total magnetic moment: 3.901 μB/cell
# - Uncorrected formation energy: 1443 meV/atom
# - N(E_F): 0.467 states/eV/atom
data_CdCuIN2
_chemical_formula_sum 'Cd1 Cu1 I1 N2'
_cell_length_a 4.0419
_cell_length_b 4.0419
_cell_length_c 6.4087
_cell_angle_alpha 90.00
_cell_angle_beta 90.00
_cell_angle_gamma 90.00
_symmetry_space_group_name_H-M 'P 4/m m m'
_symmetry_Int_Tables_number 123
_symmetry_space_group_name_Hall '-P 4 2'
loop_
_atom_site_label
_atom_site_fract_x
_atom_site_fract_y
_atom_site_fract_z
Cd1 0.0000 0.0000 0.0000
Cu1 0.5000 0.5000 0.5000
I1 0.5000 0.5000 0.0000
N1 0.0000 0.5000 0.5000


(5)
# Ta2TlAg | Alexandria via LeMat-Bulk | GGA-PBE | optimized geometry
# - Crystal system: trigonal
# - DFT formation energy: 527 meV/atom
# - Total magnetic moment: 0.000 μB/cell
# - N(E_F): 0.930 states/eV/atom
data_Ta2TlAg
_chemical_formula_sum 'Ta6 Tl3 Ag3'
_cell_length_a 2.9995
_cell_length_b 2.9995
_cell_length_c 29.9241
_cell_angle_alpha 90.00
_cell_angle_beta 90.00
_cell_angle_gamma 120.00
_symmetry_space_group_name_H-M 'R -3 m'
_symmetry_Int_Tables_number 166
_symmetry_space_group_name_Hall '-R 3 2"'
loop_
_atom_site_label
_atom_site_fract_x
_atom_site_fract_y
_atom_site_fract_z
Ta1 0.0000 0.0000 0.2479
Tl1 0.0000 0.0000 0.0000
Ag1 0.0000 0.0000 0.5000


(6)
# ZnHgS3 | Alexandria via LeMat-Bulk | GGA-PBE | optimized geometry
# - Crystal system: cubic
# - Energy above the lowest structure with this stoichiometry: 0.0 meV per atom
# - Total magnetic moment: 0.000 μB/cell
# - Uncorrected formation energy: 551 meV/atom
# - N(E_F): 1.068 states/eV/atom
data_ZnHgS3
_chemical_formula_sum 'Zn1 Hg1 S3'
_cell_length_a 4.7136
_cell_length_b 4.7136
_cell_length_c 4.7136
_cell_angle_alpha 90.00
_cell_angle_beta 90.00
_cell_angle_gamma 90.00
_symmetry_space_group_name_H-M 'P m -3 m'
_symmetry_Int_Tables_number 221
_symmetry_space_group_name_Hall '-P 4 2 3'
loop_
_atom_site_label
_atom_site_fract_x
_atom_site_fract_y
_atom_site_fract_z
Zn1 0.0000 0.0000 0.0000
Hg1 0.5000 0.5000 0.5000
S1 0.0000 0.0000 0.5000


(7)
# CeTlIn2F8 | Alexandria via LeMat-Bulk | GGA-PBE | optimized geometry
# - Crystal system: orthorhombic
# - Total magnetic moment: 0.347 μB/cell
# - Uncorrected formation energy: -2630 meV/atom
# - N(E_F): 0.482 states/eV/atom
data_CeTlIn2F8
_chemical_formula_sum 'Ce1 Tl1 In2 F8'
_cell_length_a 4.1275
_cell_length_b 6.0645
_cell_length_c 8.4107
_cell_angle_alpha 90.00
_cell_angle_beta 90.00
_cell_angle_gamma 90.00
_symmetry_space_group_name_H-M 'P m m m'
_symmetry_Int_Tables_number 47
_symmetry_space_group_name_Hall '-P 2 2'
loop_
_atom_site_label
_atom_site_fract_x
_atom_site_fract_y
_atom_site_fract_z
Ce1 0.0000 0.0000 0.0000
Tl1 0.0000 0.0000 0.5000
In1 0.5000 0.5000 0.2677
F1 0.0000 0.2470 0.2085
F2 0.5000 0.2073 0.0000
F3 0.5000 0.2948 0.5000


(8)
# AlCo2NiRu | Alexandria via LeMat-Bulk | GGA-PBE | optimized geometry
# - Crystal system: tetragonal
# - DFT formation energy: 918 meV/atom
# - Total magnetic moment: 5.319 μB/cell
# - N(E_F): 1.363 states/eV/atom
data_AlCo2NiRu
_chemical_formula_sum 'Al1 Co2 Ni1 Ru1'
_cell_length_a 4.1996
_cell_length_b 4.1996
_cell_length_c 4.2558
_cell_angle_alpha 90.00
_cell_angle_beta 90.00
_cell_angle_gamma 90.00
_symmetry_space_group_name_H-M 'P 4/m m m'
_symmetry_Int_Tables_number 123
_symmetry_space_group_name_Hall '-P 4 2'
loop_
_atom_site_label
_atom_site_fract_x
_atom_site_fract_y
_atom_site_fract_z
Al1 0.0000 0.0000 0.0000
Co1 0.0000 0.5000 0.5000
Ni1 0.0000 0.0000 0.5000
Ru1 0.5000 0.5000 0.0000


(9)
# La3Dy6Ho2Sc | Alexandria via LeMat-Bulk | GGA-PBE | optimized geometry
# - Crystal system: monoclinic
# - DFT formation energy: 35 meV/atom
# - Total magnetic moment: 0.000 μB/cell
# - N(E_F): 1.451 states/eV/atom
data_La3Dy6Ho2Sc
_chemical_formula_sum 'La6 Dy12 Ho4 Sc2'
_cell_length_a 6.1795
_cell_length_b 10.7090
_cell_length_c 11.8178
_cell_angle_alpha 90.00
_cell_angle_beta 100.06
_cell_angle_gamma 90.00
_symmetry_space_group_name_H-M 'C 1 2/m 1'
_symmetry_Int_Tables_number 12
_symmetry_space_group_name_Hall '-C 2y'
loop_
_atom_site_label
_atom_site_fract_x
_atom_site_fract_y
_atom_site_fract_z
La1 0.0000 0.0000 0.0000
La2 0.0000 0.3335 0.0000
Dy1 0.2452 0.3347 0.7413
Dy2 0.2493 0.0000 0.7413
Ho1 0.0000 0.1665 0.5000
Sc1 0.0000 0.5000 0.5000


(10)
# Sc8TcAu2 | Alexandria via LeMat-Bulk | GGA-PBE | optimized geometry
# - Crystal system: monoclinic
# - DFT formation energy: -430 meV/atom
# - Total magnetic moment: 0.000 μB/cell
# - N(E_F): 1.024 states/eV/atom
data_Sc8TcAu2
_chemical_formula_sum 'Sc16 Tc2 Au4'
_cell_length_a 15.9606
_cell_length_b 4.8231
_cell_length_c 6.4757
_cell_angle_alpha 90.00
_cell_angle_beta 109.25
_cell_angle_gamma 90.00
_symmetry_space_group_name_H-M 'C 1 2/m 1'
_symmetry_Int_Tables_number 12
_symmetry_space_group_name_Hall '-C 2y'
loop_
_atom_site_label
_atom_site_fract_x
_atom_site_fract_y
_atom_site_fract_z
Sc1 0.0256 0.0000 0.2931
Sc2 0.0965 0.5000 0.9368
Sc3 0.1610 0.5000 0.4550
Sc4 0.1929 0.0000 0.7829
Tc1 0.0000 0.5000 0.5000
Au1 0.1835 0.0000 0.1956


(11)
# CsGeBi | Alexandria via LeMat-Bulk | GGA-PBE | optimized geometry
# - Crystal system: monoclinic
# - DFT formation energy: -150 meV/atom
# - Total magnetic moment: 0.000 μB/cell
# - N(E_F): 0.200 states/eV/atom
data_CsGeBi
_chemical_formula_sum 'Cs4 Ge4 Bi4'
_cell_length_a 13.9916
_cell_length_b 4.9904
_cell_length_c 8.5523
_cell_angle_alpha 90.00
_cell_angle_beta 126.37
_cell_angle_gamma 90.00
_symmetry_space_group_name_H-M 'C 1 2/m 1'
_symmetry_Int_Tables_number 12
_symmetry_space_group_name_Hall '-C 2y'
loop_
_atom_site_label
_atom_site_fract_x
_atom_site_fract_y
_atom_site_fract_z
Cs1 0.0620 0.0000 0.3222
Ge1 0.1786 0.5000 0.7503
Bi1 0.1838 0.5000 0.0841


(12)
# Cd2PI | Alexandria via LeMat-Bulk | GGA-PBE | optimized geometry
# - Crystal system: cubic
# - Energy above the lowest structure with this stoichiometry: 743.6 meV per atom
# - Total magnetic moment: 0.000 μB/cell
# - Uncorrected formation energy: 452 meV/atom
# - N(E_F): 0.658 states/eV/atom
data_Cd2PI
_chemical_formula_sum 'Cd8 P4 I4'
_cell_length_a 7.3494
_cell_length_b 7.3494
_cell_length_c 7.3494
_cell_angle_alpha 90.00
_cell_angle_beta 90.00
_cell_angle_gamma 90.00
_symmetry_space_group_name_H-M 'F m -3 m'
_symmetry_Int_Tables_number 225
_symmetry_space_group_name_Hall '-F 4 2 3'
loop_
_atom_site_label
_atom_site_fract_x
_atom_site_fract_y
_atom_site_fract_z
Cd1 0.2500 0.2500 0.2500
P1 0.0000 0.0000 0.0000
I1 0.0000 0.0000 0.5000